The following is a DFT calculation (PBE) of a geometry-optimized SrZr2As structure.

It has space group Immm (No. 71), with a = 3.5162 Å, b = 5.4577 Å, c = 10.8272 Å, α = 90.00°, β = 90.00° and γ = 90.00°. The asymmetric unit holds Sr at (0.0000, 0.0000, 0.0000), Zr at (0.0000, 0.5000, 0.1917) and As at (0.0000, 0.0000, 0.5000).

Its formation energy is -0.2406 eV/atom.


The following is a DFT calculation (PBE) of a geometry-optimized KLiScBr5 structure.

It has space group C2/c (No. 15), with a = 9.0508 Å, b = 12.4369 Å, c = 10.2118 Å, α = 90.00°, β = 112.97° and γ = 90.00°. The asymmetric unit holds K at (0.0000, 0.1548, 0.2500), Li at (0.0000, 0.1929, 0.7500), Sc at (0.0000, 0.5000, 0.0000), Br at (0.0000, 0.4279, 0.2500), Br at (0.1059, 0.3052, 0.6003) and Br at (0.1987, 0.0634, 0.9306).

For the energy relative to the elements, uncorrected, the calculation gives -1.666 eV per atom.


The following is a DFT calculation (PBE) of a geometry-optimized HfPaNi structure.

It has space group I4mm (No. 107), with a = 3.1412 Å, b = 3.1412 Å, c = 11.8883 Å, α = 90.00°, β = 90.00° and γ = 90.00°. The asymmetric unit holds Hf at (0.0000, 0.0000, 0.0000), Pa at (0.0000, 0.0000, 0.7048) and Ni at (0.0000, 0.0000, 0.3692).

The energy above the most stable polymorph in this dataset is 120.7 meV per atom. Its formation energy is -0.1755 eV/atom.